Here is NdTmGePd after structural relaxation from Alexandria via LeMat-Bulk. Energies are from GGA-PBE.

Distance to the lowest polymorph of the same formula = 0.0000 eV per atom
N(E_F) = 3.11 states/eV per cell

CIF file:
```
data_NdTmGePd
_chemical_formula_sum 'Nd2 Tm2 Ge2 Pd2'
_space_group_name_H-M_alt 'P 1'
_space_group_IT_number 1
_cell_length_a 4.3288
_cell_length_b 3.9802
_cell_length_c 11.0032
_cell_angle_alpha 90.00
_cell_angle_beta 90.00
_cell_angle_gamma 90.00
loop_
_space_group_symop_operation_xyz
'x,y,z'
loop_
_atom_site_label
_atom_site_fract_x
_atom_site_fract_y
_atom_site_fract_z
Nd1 0.0000 0.0000 0.0000
Nd2 0.0000 0.5000 0.5000
Tm1 0.5000 0.0000 0.7231
Tm2 0.5000 0.5000 0.2231
Ge1 0.5000 0.0000 0.4347
Ge2 0.5000 0.5000 0.9347
Pd1 0.0000 0.0000 0.2761
Pd2 0.0000 0.5000 0.7761
```

---

Here is PrHo4ErTm2 after structural relaxation from Alexandria via LeMat-Bulk. Energies are from GGA-PBE.

N(E_F) = 34.77 states/eV per cell

CIF file:
```
data_PrHo4ErTm2
_chemical_formula_sum 'Pr2 Ho8 Er2 Tm4'
_space_group_name_H-M_alt 'P 1'
_space_group_IT_number 1
_cell_length_a 9.4509
_cell_length_b 9.4509
_cell_length_c 6.7504
_cell_angle_alpha 110.92
_cell_angle_beta 110.92
_cell_angle_gamma 88.70
loop_
_space_group_symop_operation_xyz
'x,y,z'
loop_
_atom_site_label
_atom_site_fract_x
_atom_site_fract_y
_atom_site_fract_z
Pr1 0.0000 0.5000 0.0000
Pr2 0.5000 0.0000 0.5000
Ho1 0.2467 0.2523 0.5004
Ho2 0.2493 0.7507 0.5024
Ho3 0.2493 0.7507 0.9976
Ho4 0.2523 0.2467 0.0004
Ho5 0.7477 0.7533 0.9996
Ho6 0.7507 0.2493 0.0024
Ho7 0.7507 0.2493 0.4976
Ho8 0.7533 0.7477 0.4996
Er1 0.5000 0.5000 0.0000
Er2 0.5000 0.5000 0.5000
Tm1 0.0000 0.0000 0.0000
Tm2 0.0000 0.0000 0.5000
Tm3 0.0000 0.5000 0.5000
Tm4 0.5000 0.0000 0.0000
```

---

Here is CaPrHoTh after structural relaxation from Alexandria via LeMat-Bulk. Energies are from GGA-PBE.

N(E_F) = 34.28 states/eV per cell

CIF file:
```
data_CaPrHoTh
_chemical_formula_sum 'Ca4 Pr4 Ho4 Th4'
_space_group_name_H-M_alt 'P 1'
_space_group_IT_number 1
_cell_length_a 8.1951
_cell_length_b 8.1951
_cell_length_c 8.1951
_cell_angle_alpha 90.00
_cell_angle_beta 90.00
_cell_angle_gamma 90.00
loop_
_space_group_symop_operation_xyz
'x,y,z'
loop_
_atom_site_label
_atom_site_fract_x
_atom_site_fract_y
_atom_site_fract_z
Ca1 0.0000 0.0000 0.0000
Ca2 0.0000 0.5000 0.5000
Ca3 0.5000 0.0000 0.5000
Ca4 0.5000 0.5000 0.0000
Pr1 0.2500 0.2500 0.7500
Pr2 0.2500 0.7500 0.2500
Pr3 0.7500 0.2500 0.2500
Pr4 0.7500 0.7500 0.7500
Ho1 0.2500 0.2500 0.2500
Ho2 0.2500 0.7500 0.7500
Ho3 0.7500 0.2500 0.7500
Ho4 0.7500 0.7500 0.2500
Th1 0.0000 0.0000 0.5000
Th2 0.0000 0.5000 0.0000
Th3 0.5000 0.0000 0.0000
Th4 0.5000 0.5000 0.5000
```

---

Table of electronic total energy (eV per atom), in record order: -5.61, -4.13, -4.47
Table of size of the total moment (μB per formula unit), in record order: 0.0, 2.6, 0.4
Table of DFT formation energy (meV per atom), in record order: -848, 442, 229